Compound: Na2BeSe2
Source: the Alexandria database
Functional: PBE-GGA
Structure: optimized geometry

Calculated values
ΔE to the lowest computed polymorph (meV per atom): 50
Energy relative to the elements, uncorrected (kJ per mole of atoms): -89.62
DOS(E_F) (states/eV per cell): 0.0

a = 7.442 Å, b = 7.442 Å, c = 9.897 Å
α = 128.12°, β = 128.12°, γ = 42.95°
Sites, in units of the cell vectors:
Na (0.078, 0.078, 0.278)
Na (0.321, 0.321, 0.977)
Na (0.679, 0.679, 0.023)
Na (0.922, 0.922, 0.722)
Be (0.384, 0.384, 0.355)
Be (0.616, 0.616, 0.645)
Se (0.187, 0.187, 0.114)
Se (0.448, 0.448, 0.624)
Se (0.552, 0.552, 0.376)
Se (0.813, 0.813, 0.886)